Record 1
A plane-wave DFT calculation with PBE-GGA was carried out for a relaxed structure of PdXe2F16.

abc: 8.5257 11.8772 8.9569
angles: 90.00 90.00 90.00
Positions (direct):
Pd: 0.1764 0.2344 0.0000
Pd: 0.3236 0.2344 0.5000
Pd: 0.6764 0.7656 0.0000
Pd: 0.8236 0.7656 0.5000
Xe: 0.0280 0.6041 0.2296
Xe: 0.0556 0.8836 0.7855
Xe: 0.4444 0.8836 0.2855
Xe: 0.4720 0.6041 0.7296
Xe: 0.5280 0.3959 0.2296
Xe: 0.5556 0.1164 0.7855
Xe: 0.9444 0.1164 0.2855
Xe: 0.9720 0.3959 0.7296
F: 0.0094 0.7760 0.3771
F: 0.0140 0.9187 0.9972
F: 0.0349 0.0471 0.7551
F: 0.0416 0.2911 0.1529
F: 0.0502 0.4273 0.5264
F: 0.0597 0.5443 0.7821
F: 0.1374 0.7407 0.8687
F: 0.1404 0.2460 0.6273
F: 0.1466 0.0890 0.0914
F: 0.1615 0.5918 0.4098
F: 0.1683 0.8806 0.5919
F: 0.1741 0.7156 0.1437
F: 0.1895 0.5022 0.1479
F: 0.1950 0.3782 0.8985
F: 0.2020 0.1675 0.3414
F: 0.2343 0.9338 0.3437
F: 0.2657 0.9338 0.8437
F: 0.2980 0.1675 0.8414
F: 0.3050 0.3782 0.3985
F: 0.3105 0.5022 0.6479
F: 0.3259 0.7156 0.6437
F: 0.3317 0.8806 0.0919
F: 0.3385 0.5918 0.9098
F: 0.3534 0.0890 0.5914
F: 0.3596 0.2460 0.1273
F: 0.3626 0.7407 0.3687
F: 0.4403 0.5443 0.2821
F: 0.4498 0.4273 0.0264
F: 0.4584 0.2911 0.6529
F: 0.4651 0.0471 0.2551
F: 0.4860 0.9187 0.4972
F: 0.4906 0.7760 0.8771
F: 0.5094 0.2240 0.3771
F: 0.5140 0.0813 0.9972
F: 0.5349 0.9529 0.7551
F: 0.5416 0.7089 0.1529
F: 0.5502 0.5727 0.5264
F: 0.5597 0.4557 0.7821
F: 0.6374 0.2593 0.8687
F: 0.6404 0.7540 0.6273
F: 0.6466 0.9110 0.0914
F: 0.6615 0.4082 0.4098
F: 0.6683 0.1194 0.5919
F: 0.6741 0.2844 0.1437
F: 0.6895 0.4978 0.1479
F: 0.6950 0.6218 0.8985
F: 0.7020 0.8325 0.3414
F: 0.7343 0.0662 0.3437
F: 0.7657 0.0662 0.8437
F: 0.7980 0.8325 0.8414
F: 0.8050 0.6218 0.3985
F: 0.8105 0.4978 0.6479
F: 0.8259 0.2844 0.6437
F: 0.8317 0.1194 0.0919
F: 0.8385 0.4082 0.9098
F: 0.8534 0.9110 0.5914
F: 0.8596 0.7540 0.1273
F: 0.8626 0.2593 0.3687
F: 0.9403 0.4557 0.2821
F: 0.9498 0.5727 0.0264
F: 0.9584 0.7089 0.6529
F: 0.9651 0.9529 0.2551
F: 0.9860 0.0813 0.4972
F: 0.9906 0.2240 0.8771

The value obtained for the energy is -2.3811 eV per atom. The mass density comes out at 4.9 g/cm³.

***

Record 2
A plane-wave DFT calculation with PBE-GGA was carried out for a relaxed structure of ErHg2.

abc: 4.8829 4.8829 3.3903
angles: 90.00 90.00 120.00
Positions (direct):
Er: 0.0000 0.0000 0.0000
Hg: 0.3333 0.6667 0.5000
Hg: 0.6667 0.3333 0.5000

For the calculated formation energy, the calculation gives -0.359 eV per atom. The mass density comes out at 13.5 g/cm³.

***

Record 3
A plane-wave DFT calculation with PBE-GGA was carried out for a relaxed structure of Ag15Sn.

abc: 5.7890 2.9227 45.7080
angles: 90.00 90.02 90.00
Positions (direct):
Ag: 0.1239 0.2500 0.2017
Ag: 0.1251 0.2500 0.0224
Ag: 0.1249 0.2500 0.1117
Ag: 0.1251 0.2500 0.6625
Ag: 0.1252 0.2500 0.7523
Ag: 0.1247 0.2500 0.8435
Ag: 0.1251 0.2500 0.9329
Ag: 0.1256 0.2500 0.2924
Ag: 0.3736 0.7500 0.7984
Ag: 0.3749 0.7500 0.0672
Ag: 0.3751 0.7500 0.1563
Ag: 0.3751 0.7500 0.2469
Ag: 0.3747 0.7500 0.8883
Ag: 0.3753 0.7500 0.9776
Ag: 0.3758 0.7500 0.7075
Ag: 0.6242 0.2500 0.2925
Ag: 0.6247 0.2500 0.0224
Ag: 0.6253 0.2500 0.1117
Ag: 0.6249 0.2500 0.7531
Ag: 0.6249 0.2500 0.8437
Ag: 0.6251 0.2500 0.9328
Ag: 0.6264 0.2500 0.2016
Ag: 0.8744 0.7500 0.7076
Ag: 0.8749 0.7500 0.0671
Ag: 0.8753 0.7500 0.1565
Ag: 0.8748 0.7500 0.2477
Ag: 0.8749 0.7500 0.3375
Ag: 0.8751 0.7500 0.8883
Ag: 0.8749 0.7500 0.9776
Ag: 0.8761 0.7500 0.7983
Sn: 0.3745 0.7500 0.3441
Sn: 0.6255 0.2500 0.6559

Its energy above the lowest structure with this stoichiometry is 8 meV/atom. The mass density comes out at 7.5 g/cm³.

***

Record 4
A plane-wave DFT calculation with PBE-GGA was carried out for a relaxed structure of Lu2CuSi.

abc: 4.8235 4.8235 4.8235
angles: 60.00 60.00 60.00
Positions (direct):
Lu: 0.0000 0.0000 0.0000
Lu: 0.2500 0.2500 0.2500
Cu: 0.7500 0.7500 0.7500
Si: 0.5000 0.5000 0.5000

The value obtained for the energy is -4.3822 eV per atom. The mass density comes out at 9.2 g/cm³.

***

Record 5
A plane-wave DFT calculation with PBE-GGA was carried out for a relaxed structure of NbCo2Cu.

abc: 4.1451 4.1451 4.1451
angles: 60.00 60.00 60.00
Positions (direct):
Nb: 0.0000 0.0000 0.0000
Co: 0.5000 0.5000 0.5000
Co: 0.7500 0.7500 0.7500
Cu: 0.2500 0.2500 0.2500

For the calculated formation energy, the calculation gives 0.174 eV per atom. The mass density comes out at 9.0 g/cm³.

***

Record 6
A plane-wave DFT calculation with PBE-GGA was carried out for a relaxed structure of AlZnBi.

abc: 4.7441 4.7441 4.7441
angles: 60.00 60.00 60.00
Positions (direct):
Al: 0.0000 0.0000 0.0000
Zn: 0.2500 0.2500 0.2500
Bi: 0.7500 0.7500 0.7500

Its energy above the lowest structure with this stoichiometry is 0 meV/atom. The mass density comes out at 6.6 g/cm³.

***

Record 7
A plane-wave DFT calculation with PBE-GGA was carried out for a relaxed structure of Nb4GaSe4S4.

abc: 7.2283 7.2283 7.2283
angles: 60.00 60.00 60.00
Positions (direct):
Nb: 0.3933 0.3933 0.3933
Nb: 0.3933 0.3933 0.8200
Nb: 0.3933 0.8200 0.3933
Nb: 0.8200 0.3933 0.3933
Ga: 0.0000 0.0000 0.0000
Se: 0.0875 0.6375 0.6375
Se: 0.6375 0.0875 0.6375
Se: 0.6375 0.6375 0.0875
Se: 0.6375 0.6375 0.6375
S: 0.1334 0.1334 0.1334
S: 0.1334 0.1334 0.5998
S: 0.1334 0.5998 0.1334
S: 0.5998 0.1334 0.1334

Its energy above the lowest structure with this stoichiometry is 75 meV/atom. The mass density comes out at 5.5 g/cm³.

***

Record 8
A plane-wave DFT calculation with PBE-GGA was carried out for a relaxed structure of BaLiZrS3.

abc: 7.0113 7.0113 9.8940
angles: 90.00 90.00 147.44
Positions (direct):
Ba: 0.2462 0.7538 0.7500
Ba: 0.7538 0.2462 0.2500
Li: 0.0331 0.9669 0.2500
Li: 0.9669 0.0331 0.7500
Zr: 0.5000 0.5000 0.0000
Zr: 0.5000 0.5000 0.5000
S: 0.1289 0.8711 0.0527
S: 0.1289 0.8711 0.4473
S: 0.4405 0.5595 0.2500
S: 0.5595 0.4405 0.7500
S: 0.8711 0.1289 0.5527
S: 0.8711 0.1289 0.9473

The value obtained for the energy is -5.7814 eV per atom. The mass density comes out at 4.2 g/cm³.

***

Record 9
A plane-wave DFT calculation with PBE-GGA was carried out for a relaxed structure of TeWCl4.

abc: 6.8469 7.5362 7.8696
angles: 76.57 78.17 79.64
Positions (direct):
Te: 0.1154 0.2781 0.0195
Te: 0.8846 0.7219 0.9805
W: 0.3610 0.3058 0.7414
W: 0.6390 0.6942 0.2586
Cl: 0.1725 0.2896 0.5379
Cl: 0.3118 0.6253 0.6453
Cl: 0.3507 0.6572 0.1696
Cl: 0.4972 0.9926 0.2671
Cl: 0.5028 0.0074 0.7329
Cl: 0.6493 0.3428 0.8304
Cl: 0.6882 0.3747 0.3547
Cl: 0.8275 0.7104 0.4621

The value obtained for the energy is -4.5619 eV per atom. The mass density comes out at 3.9 g/cm³.

***

Record 10
A plane-wave DFT calculation with PBE-GGA was carried out for a relaxed structure of AcSmNO.

abc: 4.4675 4.4675 9.0459
angles: 90.00 90.00 90.00
Positions (direct):
Ac: 0.2500 0.2500 0.1237
Ac: 0.7500 0.7500 0.8763
Sm: 0.2500 0.7500 0.5000
Sm: 0.7500 0.2500 0.5000
N: 0.2500 0.2500 0.6007
N: 0.7500 0.7500 0.3993
O: 0.2500 0.7500 0.0000
O: 0.7500 0.2500 0.0000

Its energy above the lowest structure with this stoichiometry is 300 meV/atom. The mass density comes out at 7.5 g/cm³.

***

Record 11
A plane-wave DFT calculation with PBE-GGA was carried out for a relaxed structure of NaScAg.

abc: 4.7574 4.7574 4.7574
angles: 60.00 60.00 60.00
Positions (direct):
Na: 0.0000 0.0000 0.0000
Sc: 0.7500 0.7500 0.7500
Ag: 0.5000 0.5000 0.5000

The value obtained for the energy is -2.9679 eV per atom. The mass density comes out at 3.8 g/cm³.

***

Record 12
A plane-wave DFT calculation with PBE-GGA was carried out for a relaxed structure of SnOsNO.

abc: 3.7878 3.7878 8.4101
angles: 90.00 90.00 90.00
Positions (direct):
Sn: 0.2500 0.2500 0.1408
Sn: 0.7500 0.7500 0.8592
Os: 0.2500 0.7500 0.5000
Os: 0.7500 0.2500 0.5000
N: 0.2500 0.2500 0.6006
N: 0.7500 0.7500 0.3994
O: 0.2500 0.7500 0.0000
O: 0.7500 0.2500 0.0000

Its energy above the lowest structure with this stoichiometry is 166 meV/atom. The mass density comes out at 9.3 g/cm³.

***

Repeat the eleventh record exactly.
A plane-wave DFT calculation with PBE-GGA was carried out for a relaxed structure of NaScAg.

abc: 4.7574 4.7574 4.7574
angles: 60.00 60.00 60.00
Positions (direct):
Na: 0.0000 0.0000 0.0000
Sc: 0.7500 0.7500 0.7500
Ag: 0.5000 0.5000 0.5000

The value obtained for the energy is -2.9679 eV per atom. The mass density comes out at 3.8 g/cm³.

***

Which of these has the highest mass density?
ErHg2

***

Repeat the first record exactly.
A plane-wave DFT calculation with PBE-GGA was carried out for a relaxed structure of PdXe2F16.

abc: 8.5257 11.8772 8.9569
angles: 90.00 90.00 90.00
Positions (direct):
Pd: 0.1764 0.2344 0.0000
Pd: 0.3236 0.2344 0.5000
Pd: 0.6764 0.7656 0.0000
Pd: 0.8236 0.7656 0.5000
Xe: 0.0280 0.6041 0.2296
Xe: 0.0556 0.8836 0.7855
Xe: 0.4444 0.8836 0.2855
Xe: 0.4720 0.6041 0.7296
Xe: 0.5280 0.3959 0.2296
Xe: 0.5556 0.1164 0.7855
Xe: 0.9444 0.1164 0.2855
Xe: 0.9720 0.3959 0.7296
F: 0.0094 0.7760 0.3771
F: 0.0140 0.9187 0.9972
F: 0.0349 0.0471 0.7551
F: 0.0416 0.2911 0.1529
F: 0.0502 0.4273 0.5264
F: 0.0597 0.5443 0.7821
F: 0.1374 0.7407 0.8687
F: 0.1404 0.2460 0.6273
F: 0.1466 0.0890 0.0914
F: 0.1615 0.5918 0.4098
F: 0.1683 0.8806 0.5919
F: 0.1741 0.7156 0.1437
F: 0.1895 0.5022 0.1479
F: 0.1950 0.3782 0.8985
F: 0.2020 0.1675 0.3414
F: 0.2343 0.9338 0.3437
F: 0.2657 0.9338 0.8437
F: 0.2980 0.1675 0.8414
F: 0.3050 0.3782 0.3985
F: 0.3105 0.5022 0.6479
F: 0.3259 0.7156 0.6437
F: 0.3317 0.8806 0.0919
F: 0.3385 0.5918 0.9098
F: 0.3534 0.0890 0.5914
F: 0.3596 0.2460 0.1273
F: 0.3626 0.7407 0.3687
F: 0.4403 0.5443 0.2821
F: 0.4498 0.4273 0.0264
F: 0.4584 0.2911 0.6529
F: 0.4651 0.0471 0.2551
F: 0.4860 0.9187 0.4972
F: 0.4906 0.7760 0.8771
F: 0.5094 0.2240 0.3771
F: 0.5140 0.0813 0.9972
F: 0.5349 0.9529 0.7551
F: 0.5416 0.7089 0.1529
F: 0.5502 0.5727 0.5264
F: 0.5597 0.4557 0.7821
F: 0.6374 0.2593 0.8687
F: 0.6404 0.7540 0.6273
F: 0.6466 0.9110 0.0914
F: 0.6615 0.4082 0.4098
F: 0.6683 0.1194 0.5919
F: 0.6741 0.2844 0.1437
F: 0.6895 0.4978 0.1479
F: 0.6950 0.6218 0.8985
F: 0.7020 0.8325 0.3414
F: 0.7343 0.0662 0.3437
F: 0.7657 0.0662 0.8437
F: 0.7980 0.8325 0.8414
F: 0.8050 0.6218 0.3985
F: 0.8105 0.4978 0.6479
F: 0.8259 0.2844 0.6437
F: 0.8317 0.1194 0.0919
F: 0.8385 0.4082 0.9098
F: 0.8534 0.9110 0.5914
F: 0.8596 0.7540 0.1273
F: 0.8626 0.2593 0.3687
F: 0.9403 0.4557 0.2821
F: 0.9498 0.5727 0.0264
F: 0.9584 0.7089 0.6529
F: 0.9651 0.9529 0.2551
F: 0.9860 0.0813 0.4972
F: 0.9906 0.2240 0.8771

The value obtained for the energy is -2.3811 eV per atom. The mass density comes out at 4.9 g/cm³.